1.
First-principles (PBEsol) data for a relaxed structure of ScAgBr, as listed in Alexandria via LeMat-Bulk.

The calculated volume comes out at 21.5 Å³/atom. The calculation puts the uncorrected formation energy at -0.305 eV per atom.

It has space group P-6m2 (No. 187), with a = 4.6121 Å, b = 4.6121 Å, c = 3.4941 Å, α = 90.00°, β = 90.00° and γ = 120.00°. The distinct sites, in fractional coordinates, are Sc at (0.0000, 0.0000, 0.0000), Ag at (0.3333, 0.6667, 0.5000) and Br at (0.6667, 0.3333, 0.0000).

2.
First-principles (PBEsol) data for a relaxed structure of ScAgSeBr2, as listed in Alexandria via LeMat-Bulk.

The calculated volume comes out at 26.4 Å³/atom. The calculation puts the uncorrected formation energy at -0.106 eV per atom.

It has space group P4/mmm (No. 123), with a = 5.0558 Å, b = 5.0558 Å, c = 5.1729 Å, α = 90.00°, β = 90.00° and γ = 90.00°. The distinct sites, in fractional coordinates, are Sc at (0.0000, 0.0000, 0.0000), Ag at (0.5000, 0.5000, 0.5000), Se at (0.5000, 0.5000, 0.0000) and Br at (0.0000, 0.5000, 0.5000).

3.
First-principles (PBEsol) data for a relaxed structure of YScAg2Br, as listed in Alexandria via LeMat-Bulk.

The calculated volume comes out at 29.4 Å³/atom. The calculation puts the uncorrected formation energy at 0.404 eV per atom.

It has space group P4/mmm (No. 123), with a = 5.3299 Å, b = 5.3299 Å, c = 5.1692 Å, α = 90.00°, β = 90.00° and γ = 90.00°. The distinct sites, in fractional coordinates, are Y at (0.0000, 0.0000, 0.0000), Sc at (0.5000, 0.5000, 0.5000), Ag at (0.0000, 0.5000, 0.0000) and Br at (0.0000, 0.0000, 0.5000).